A plane-wave DFT calculation with PBE+U was carried out for a geometry-optimized LiNiO2 structure.

Unit cell a=5.7388 b=8.2913 c=5.7565 alpha=90.00 beta=90.00 gamma=90.00
With the nearest neighbours (Å) after each atom.
Fractional positions:
Li 0.4991 0.0000 0.0000  6 O 2.03-2.08
Li 0.0009 0.5000 0.5000  6 O 2.03-2.08
Li 0.4992 0.5000 0.0000  6 O 2.03-2.08
Li 0.0008 0.0000 0.5000  6 O 2.03-2.08
Li 0.7500 0.2499 0.2500  6 O 2.02-2.26
Li 0.2500 0.7502 0.7500  6 O 2.15-2.17
Li 0.2500 0.2498 0.2500  6 O 2.15-2.17
Li 0.7500 0.7501 0.7500  6 O 2.02-2.26
Ni 0.5007 0.0000 0.5000  6 O 2.04-2.08
Ni 0.5007 0.5000 0.5000  6 O 2.04-2.08
Ni 0.9993 0.0000 0.0000  6 O 2.04-2.08
Ni 0.9993 0.5000 0.0000  6 O 2.04-2.08
Ni 0.7500 0.7500 0.2500  6 O 1.89-1.90
Ni 0.2500 0.2500 0.7500  6 O 1.97-2.05
Ni 0.2500 0.7500 0.2500  6 O 1.97-2.05
Ni 0.7500 0.2500 0.7500  6 O 1.89-1.90
O 0.5076 0.7500 0.0246  2 Ni 1.90-1.97, 3 Li 2.08-2.11
O 0.9924 0.2500 0.5246  2 Ni 1.90-1.97, 3 Li 2.08-2.11
O 0.5076 0.2500 0.9754  2 Ni 1.90-1.97, 3 Li 2.08-2.11
O 0.9924 0.7500 0.4754  2 Ni 1.90-1.97, 3 Li 2.08-2.11
O 0.5183 0.2500 0.5149  4 Ni 1.90-2.08, 1 Li 2.02
O 0.9817 0.7500 0.0149  4 Ni 1.90-2.08, 1 Li 2.02
O 0.5183 0.7500 0.4851  4 Ni 1.90-2.08, 1 Li 2.02
O 0.9817 0.2500 0.9851  4 Ni 1.90-2.08, 1 Li 2.02
O 0.2500 0.5092 0.2500  3 Ni 2.00-2.04, 3 Li 2.03-2.15
O 0.7500 0.0220 0.7500  3 Ni 1.89-2.04, 2 Li 2.04
O 0.7500 0.5220 0.2500  3 Ni 1.89-2.04, 2 Li 2.04
O 0.2500 0.0092 0.7500  3 Ni 2.00-2.04, 3 Li 2.03-2.15
O 0.7500 0.4780 0.7500  3 Ni 1.89-2.04, 2 Li 2.04
O 0.2500 0.9908 0.2500  3 Ni 2.00-2.04, 3 Li 2.03-2.15
O 0.2500 0.4908 0.7500  3 Ni 2.00-2.04, 3 Li 2.03-2.15
O 0.7500 0.9781 0.2500  3 Ni 1.89-2.04, 2 Li 2.04

Properties
Calculated volume ... 34.24 Å³/f.u.
Total energy ... -4.81 eV per atom

---

A plane-wave DFT calculation with PBE+U was carried out for a geometry-optimized LiNi3O6 structure.

Unit cell a=4.8581 b=4.8581 c=5.2235 alpha=99.37 beta=99.37 gamma=118.71
With the nearest neighbours (Å) after each atom.
Fractional positions:
Li 0.5000 0.5000 0.5000  6 O 2.08-2.19
Ni 0.0000 0.0000 0.0000  6 O 1.89-2.08
Ni 0.3334 0.6666 0.0000  6 O 1.86-1.91
Ni 0.6666 0.3334 0.0000  6 O 1.86-1.91
O 0.7046 0.7046 0.2082  2 Ni 1.86
O 0.2954 0.2954 0.7918  2 Ni 1.86
O 0.4043 0.0733 0.1945  3 Ni 1.88-1.91
O 0.0733 0.4043 0.1945  3 Ni 1.88-1.91
O 0.5957 0.9267 0.8056  3 Ni 1.88-1.91
O 0.9267 0.5957 0.8056  3 Ni 1.88-1.91

Properties
Calculated volume ... 102.47 Å³/f.u.
Total energy ... -4.73 eV per atom

---

A plane-wave DFT calculation with PBE+U was carried out for a geometry-optimized LiNiO2 structure.

Unit cell a=5.0307 b=5.0470 c=7.6073 alpha=109.12 beta=101.67 gamma=100.66
With the nearest neighbours (Å) after each atom.
Fractional positions:
Ni 0.0967 0.6941 0.6942  6 O 1.88-1.95
Ni 0.0000 0.5000 0.0000  4 O 1.94-1.99
Ni 0.6942 0.8935 0.8962  6 O 2.01-2.10
Ni 0.3058 0.1065 0.1038  6 O 2.01-2.10
Ni 0.9033 0.3059 0.3058  6 O 1.88-1.95
O 0.0494 0.0702 0.8424  3 Ni 1.95-2.07, 2 Li 2.05-2.13
O 0.3213 0.6921 0.9291  4 Ni 1.92-2.10, 1 Li 2.11
O 0.1286 0.3253 0.5409  2 Ni 1.88-1.90, 2 Li 2.04-2.07
O 0.2195 0.4902 0.2380  3 Ni 1.94-2.04, 2 Li 2.06-2.16
O 0.4272 0.8857 0.6584  2 Ni 1.88-2.01, 3 Li 2.00-2.07
O 0.5728 0.1143 0.3416  2 Ni 1.88-2.01, 3 Li 2.00-2.07
O 0.7805 0.5098 0.7620  3 Ni 1.94-2.04, 2 Li 2.06-2.16
O 0.8714 0.6747 0.4591  2 Ni 1.88-1.90, 2 Li 2.04-2.07
O 0.6787 0.3079 0.0709  4 Ni 1.92-2.10, 1 Li 2.11
O 0.9506 0.9298 0.1576  3 Ni 1.95-2.07, 2 Li 2.05-2.13
Li 0.2113 0.9004 0.4045  6 O 2.05-2.21
Li 0.3845 0.2856 0.7816  5 O 2.00-2.16
Li 0.5000 0.5000 0.5000  6 O 2.04-2.18
Li 0.6155 0.7144 0.2184  5 O 2.00-2.16
Li 0.7887 0.0996 0.5955  6 O 2.05-2.21

Properties
Calculated volume ... 34.40 Å³/f.u.
Total energy ... -4.85 eV per atom

---

A plane-wave DFT calculation with PBE+U was carried out for a geometry-optimized LiNiO2 structure.

Unit cell a=2.8410 b=5.9550 c=10.2355 alpha=77.72 beta=97.98 gamma=118.50
With the nearest neighbours (Å) after each atom.
Fractional positions:
Ni 0.9969 0.4991 0.9956  4 O 1.91-1.93
Ni 0.0000 0.2500 0.5000  6 O 1.90
Ni 0.0000 0.7500 0.5000  6 O 2.05-2.15
Ni 0.0031 0.0009 0.0044  4 O 1.91-1.93
O 0.3714 0.8171 0.1086  2 Ni 1.93, 2 Li 1.98
O 0.6222 0.4239 0.3969  2 Ni 1.90, 2 Li 1.94-2.09
O 0.6167 0.1678 0.8977  2 Ni 1.91, 2 Li 1.94-2.04
O 0.3776 0.0761 0.6031  2 Ni 1.90, 2 Li 1.94-2.09
O 0.3833 0.3322 0.1023  2 Ni 1.91, 2 Li 1.94-2.04
O 0.3217 0.5191 0.6053  3 Ni 1.90-2.05, 2 Li 1.91
O 0.6782 0.9809 0.3947  3 Ni 1.90-2.05, 2 Li 1.91
O 0.6286 0.6829 0.8914  2 Ni 1.93, 2 Li 1.98
Li 0.2732 0.8815 0.7834  4 O 1.94-2.04
Li 0.7268 0.6185 0.2166  4 O 1.94-2.04
Li 0.2705 0.1301 0.2810  4 O 1.91-2.09
Li 0.7293 0.3699 0.7190  4 O 1.91-2.09

Properties
Calculated volume ... 37.14 Å³/f.u.
Total energy ... -4.82 eV per atom

---

A plane-wave DFT calculation with PBE+U was carried out for a geometry-optimized LiNi9O13 structure.

Unit cell a=5.1094 b=5.1094 c=16.0944 alpha=81.38 beta=81.38 gamma=32.78
With the nearest neighbours (Å) after each atom.
Fractional positions:
Li 0.1966 0.1966 0.7767  6 O 2.12-2.28
Ni 0.5108 0.5108 0.4945  6 O 2.00-2.10
Ni 0.3444 0.3444 0.0515  6 O 1.98-2.07
Ni 0.6374 0.6374 0.9642  6 O 1.92-2.09
Ni 0.2604 0.2604 0.4082  6 O 1.97-2.07
Ni 0.7489 0.7489 0.5833  5 O 1.96-2.07
Ni 0.0558 0.0558 0.1285  6 O 1.84-2.06
Ni 0.9235 0.9235 0.8782  5 O 1.93-2.07
Ni 0.0114 0.0114 0.3313  6 O 1.84-2.04
Ni 0.9862 0.9862 0.6675  5 O 1.94-2.05
O 0.9942 0.9942 0.0161  5 Ni 1.99-2.09
O 0.1240 0.1240 0.2288  2 Ni 1.84
O 0.8560 0.8560 0.7716  2 Ni 1.93-1.94, 2 Li 2.12
O 0.6941 0.6941 0.0776  5 Ni 1.99-2.06
O 0.2879 0.2879 0.9345  5 Ni 2.04-2.07
O 0.4270 0.4270 0.1559  3 Ni 1.92-1.98
O 0.5625 0.5625 0.8607  3 Ni 1.92-1.97
O 0.3972 0.3972 0.3042  3 Ni 1.92-1.97
O 0.6133 0.6133 0.6868  3 Ni 1.96
O 0.6246 0.6246 0.3786  5 Ni 2.02-2.07
O 0.3899 0.3899 0.6069  5 Ni 2.00-2.07
O 0.8907 0.8907 0.4439  5 Ni 2.00-2.10
O 0.1442 0.1442 0.5254  5 Ni 2.05-2.07

Properties
Calculated volume ... 224.71 Å³/f.u.
Energy above the most stable polymorph in this dataset ... 0.023 eV per atom
Total energy ... -4.66 eV per atom

---

A plane-wave DFT calculation with PBE+U was carried out for a geometry-optimized LiNi4O5 structure.

Unit cell a=2.9585 b=4.1439 c=7.8398 alpha=105.32 beta=100.88 gamma=90.00
With the nearest neighbours (Å) after each atom.
Fractional positions:
Li 0.0000 0.0000 0.0000  6 O 2.07-2.15
Ni 0.4040 0.4040 0.8080  6 O 2.05-2.12
Ni 0.8017 0.8017 0.6033  6 O 2.02-2.13
Ni 0.1983 0.1983 0.3967  6 O 2.02-2.13
Ni 0.5960 0.5960 0.1920  6 O 2.05-2.12
O 0.6056 0.1056 0.2112  4 Ni 2.02-2.08, 2 Li 2.15
O 0.8017 0.3017 0.6034  6 Ni 2.07-2.13
O 0.1983 0.6983 0.3966  6 Ni 2.07-2.13
O 0.0000 0.5000 0.0000  4 Ni 2.05, 2 Li 2.07
O 0.3944 0.8944 0.7888  4 Ni 2.02-2.08, 2 Li 2.15

Properties
Calculated volume ... 90.91 Å³/f.u.
Energy above the most stable polymorph in this dataset ... 0.008 eV per atom
Total energy ... -4.84 eV per atom

---

A plane-wave DFT calculation with PBE+U was carried out for a geometry-optimized Li7Ni12O24 structure.

Unit cell a=7.7121 b=7.7121 c=9.8812 alpha=57.36 beta=57.36 gamma=67.14
With the nearest neighbours (Å) after each atom.
Fractional positions:
Li 0.8448 0.1552 0.5000  6 O 2.08-2.25
Li 0.7413 0.7463 0.7594  5 O 2.03-2.18
Li 0.4987 0.5013 0.5000  6 O 2.05-2.17
Li 0.6149 0.9178 0.2415  3 O 1.97-2.13
Li 0.3080 0.6920 0.0000  6 O 2.08-2.21
Li 0.2537 0.2587 0.2406  5 O 2.03-2.18
Li 0.0822 0.3851 0.7585  3 O 1.97-2.13
Ni 0.7007 0.0431 0.8786  6 O 1.88-2.04
Ni 0.9569 0.2993 0.1214  6 O 1.88-2.04
Ni 0.8779 0.8685 0.3806  6 O 1.89-2.10
Ni 0.7948 0.4556 0.6218  6 O 1.87-2.08
Ni 0.6182 0.6244 0.1284  6 O 1.86-1.93
Ni 0.5444 0.2052 0.3782  6 O 1.87-2.08
Ni 0.4588 0.7864 0.6263  6 O 1.86-1.91
Ni 0.3756 0.3818 0.8716  6 O 1.86-1.93
Ni 0.2136 0.5412 0.3737  6 O 1.86-1.91
Ni 0.1315 0.1221 0.6194  6 O 1.89-2.10
Ni 0.0364 0.7134 0.8737  6 O 1.89-2.07
Ni 0.2866 0.9636 0.1263  6 O 1.89-2.07
O 0.9159 0.9374 0.7144  3 Ni 1.88-2.10, 2 Li 2.08-2.09
O 0.8536 0.5346 0.9547  3 Ni 1.91-1.93, 1 Li 2.11
O 0.9799 0.6291 0.5475  3 Ni 1.90-1.93
O 0.6091 0.2790 0.7038  3 Ni 1.91-1.93
O 0.9053 0.2315 0.7791  3 Ni 1.87-2.03, 1 Li 2.00
O 0.7783 0.8123 0.0580  3 Ni 1.87-2.07, 1 Li 1.97
O 0.5140 0.8417 0.9674  3 Ni 1.86-2.04
O 0.7210 0.3909 0.2962  3 Ni 1.91-1.93
O 0.6493 0.9470 0.5610  3 Ni 1.90-2.08, 1 Li 2.03
O 0.7685 0.0947 0.2209  3 Ni 1.87-2.03, 1 Li 2.00
O 0.5415 0.5680 0.8018  3 Ni 1.86-2.08
O 0.6768 0.6816 0.4647  3 Ni 1.86-2.06
O 0.3184 0.3232 0.5353  3 Ni 1.86-2.06
O 0.4320 0.4585 0.1982  3 Ni 1.86-2.08
O 0.2235 0.8860 0.7905  3 Ni 1.89-1.91, 1 Li 2.08
O 0.3709 0.0201 0.4525  3 Ni 1.90-1.93
O 0.2929 0.6009 0.6964  3 Ni 1.86-2.07, 1 Li 2.05
O 0.4654 0.1464 0.0453  3 Ni 1.91-1.93, 1 Li 2.11
O 0.1877 0.2217 0.9420  3 Ni 1.87-2.07, 1 Li 1.97
O 0.1140 0.7765 0.2095  3 Ni 1.89-1.91, 1 Li 2.08
O 0.3991 0.7071 0.3036  3 Ni 1.86-2.07, 1 Li 2.05
O 0.0530 0.3507 0.4390  3 Ni 1.90-2.08, 1 Li 2.03
O 0.1583 0.4860 0.0326  3 Ni 1.86-2.04
O 0.0626 0.0841 0.2856  3 Ni 1.88-2.10, 2 Li 2.08-2.09

Properties
Calculated volume ... 412.75 Å³/f.u.
Total energy ... -4.79 eV per atom

---

A plane-wave DFT calculation with PBE+U was carried out for a geometry-optimized LiNiO2 structure.

Unit cell a=3.5609 b=3.5609 c=3.5609 alpha=60.00 beta=60.00 gamma=60.00
With the nearest neighbours (Å) after each atom.
Fractional positions:
Ni 0.5000 0.5000 0.5000  8 O 2.18
O 0.2500 0.2500 0.2500  4 Li 2.18, 4 Ni 2.18
O 0.7500 0.7500 0.7500  4 Li 2.18, 4 Ni 2.18
Li 0.0000 0.0000 0.0000  8 O 2.18

Properties
Calculated volume ... 31.93 Å³/f.u.
Total energy ... -4.32 eV per atom

---

- Which of these has the highest calculated volume?
  Li7Ni12O24

---

- Look up the total energy of the fourth one.
  -4.82 eV per atom

---

- The highest total energy belongs to which entry?
  number 8